# PaAlNi2O6 | the Alexandria database | PBE with a Hubbard U | optimized geometry
data_PaAlNi2O6
_space_group_name_H-M_alt 'P 1'
_space_group_IT_number 1
_cell_length_a 4.386
_cell_length_b 5.557
_cell_length_c 5.557
_cell_angle_alpha 90.00
_cell_angle_beta 90.00
_cell_angle_gamma 90.00
loop_
_space_group_symop_operation_xyz
'x,y,z'
loop_
_atom_site_label
_atom_site_type_symbol
_atom_site_fract_x
_atom_site_fract_y
_atom_site_fract_z
Al1 Al 0.631 0.000 0.000
Ni1 Ni 0.919 0.500 0.000
Ni2 Ni 0.919 0.000 0.500
O1 O 0.229 0.000 0.000
O2 O 0.743 0.233 0.233
O3 O 0.743 0.767 0.233
O4 O 0.743 0.233 0.767
O5 O 0.154 0.500 0.500
O6 O 0.743 0.767 0.767
Pa1 Pa 0.624 0.500 0.500
# Space group ... P4mm
# Density ... 5.780 Mg/m³
# Crystal system ... tetragonal
# Final energy ... -6.723 eV per atom